Record 1
First-principles (PBE-GGA) data for MgCd2ICl after structural relaxation, as listed in the Alexandria database.

The value obtained for the formation energy without anion corrections is 0.22 eV per atom. Its crystal system is tetragonal.

Lattice parameters (Å, degrees): 6.284 6.284 5.835 90.00 90.00 90.00
Positions (direct):
Mg1 0.000 0.000 0.000
Cd1 0.000 0.500 0.500
Cd2 0.500 0.000 0.500
I1 0.000 0.000 0.500
Cl1 0.500 0.500 0.000


Record 2
First-principles (PBE-GGA) data for CdIN2Cl after structural relaxation, as listed in the Alexandria database.

The energy relative to the lowest polymorph listed for this composition comes out at 0.00 kcal/mol of atoms. The value obtained for the formation energy without anion corrections is 1.58 eV per atom. Its crystal system is tetragonal.

Lattice parameters (Å, degrees): 4.446 4.446 6.565 90.00 90.00 90.00
Positions (direct):
Cd1 0.000 0.000 0.000
I1 0.000 0.000 0.500
N1 0.000 0.500 0.000
N2 0.500 0.000 0.000
Cl1 0.500 0.500 0.500


Record 3
First-principles (PBE-GGA) data for CdIN2Cl after structural relaxation, as listed in the Alexandria database.

The energy relative to the lowest polymorph listed for this composition comes out at 6.31 kcal/mol of atoms. The value obtained for the formation energy without anion corrections is 1.86 eV per atom. Its crystal system is tetragonal.

Lattice parameters (Å, degrees): 4.318 4.318 7.966 90.00 90.00 90.00
Positions (direct):
Cd1 0.000 0.000 0.000
I1 0.500 0.500 0.000
N1 0.000 0.500 0.500
N2 0.500 0.000 0.500
Cl1 0.500 0.500 0.500


Record 4
First-principles (PBE-GGA) data for NaCdICl2 after structural relaxation, as listed in the Alexandria database.

The energy relative to the lowest polymorph listed for this composition comes out at 0.00 kcal/mol of atoms. The value obtained for the formation energy without anion corrections is -1.16 eV per atom. Its crystal system is monoclinic.

Lattice parameters (Å, degrees): 7.663 5.515 8.501 90.00 95.32 90.00
Positions (direct):
Na1 0.188 0.250 0.427
Na2 0.812 0.750 0.573
Cd1 0.101 0.250 0.850
Cd2 0.899 0.750 0.150
I1 0.429 0.250 0.753
I2 0.571 0.750 0.247
Cl1 0.013 0.750 0.877
Cl2 0.117 0.750 0.396
Cl3 0.883 0.250 0.604
Cl4 0.987 0.250 0.123


Record 5
First-principles (PBE-GGA) data for NaCdICl2 after structural relaxation, as listed in the Alexandria database.

The energy relative to the lowest polymorph listed for this composition comes out at 3.23 kcal/mol of atoms. The value obtained for the formation energy without anion corrections is -1.02 eV per atom. Its crystal system is tetragonal.

Lattice parameters (Å, degrees): 5.171 5.171 6.068 90.00 90.00 90.00
Positions (direct):
Na1 0.000 0.000 0.000
Cd1 0.500 0.500 0.500
I1 0.500 0.500 0.000
Cl1 0.000 0.500 0.500
Cl2 0.500 0.000 0.500


Record 6
First-principles (PBE-GGA) data for Na2CdI2Cl2 after structural relaxation, as listed in the Alexandria database.

The value obtained for the formation energy without anion corrections is -1.21 eV per atom. Its crystal system is monoclinic.

Lattice parameters (Å, degrees): 7.650 7.650 7.569 110.77 110.77 33.13
Positions (direct):
Na1 0.239 0.239 0.216
Na2 0.761 0.761 0.784
Cd1 0.000 0.000 0.500
I1 0.404 0.404 0.655
I2 0.596 0.596 0.345
Cl1 0.154 0.154 0.819
Cl2 0.846 0.846 0.181


Record 7
First-principles (PBE-GGA) data for CdI2ClO after structural relaxation, as listed in the Alexandria database.

The energy relative to the lowest polymorph listed for this composition comes out at 0.00 kcal/mol of atoms. The value obtained for the formation energy without anion corrections is 0.20 eV per atom. Its crystal system is tetragonal.

Lattice parameters (Å, degrees): 6.141 6.141 4.101 90.00 90.00 90.00
Positions (direct):
Cd1 0.000 0.000 0.000
I1 0.000 0.500 0.000
I2 0.500 0.000 0.000
Cl1 0.500 0.500 0.500
O1 0.000 0.000 0.500


Record 8
First-principles (PBE-GGA) data for CdIClO4 after structural relaxation, as listed in the Alexandria database.

The value obtained for the formation energy without anion corrections is -0.37 eV per atom. Its crystal system is monoclinic.

Lattice parameters (Å, degrees): 7.485 7.485 6.813 108.79 108.79 60.43
Positions (direct):
Cd1 0.142 0.142 0.172
Cd2 0.858 0.858 0.828
I1 0.370 0.370 0.718
I2 0.630 0.630 0.282
Cl1 0.042 0.042 0.775
Cl2 0.958 0.958 0.225
O1 0.124 0.508 0.806
O2 0.311 0.311 0.432
O3 0.483 0.483 0.207
O4 0.492 0.876 0.194
O5 0.508 0.124 0.806
O6 0.517 0.517 0.793
O7 0.689 0.689 0.568
O8 0.876 0.492 0.194


Record 9
First-principles (PBE-GGA) data for CdIClO3 after structural relaxation, as listed in the Alexandria database.

The value obtained for the formation energy without anion corrections is -0.68 eV per atom. Its crystal system is orthorhombic.

Lattice parameters (Å, degrees): 9.002 9.002 7.469 90.00 90.00 131.79
Positions (direct):
Cd1 0.149 0.351 0.250
Cd2 0.351 0.149 0.750
Cd3 0.649 0.851 0.250
Cd4 0.851 0.649 0.750
I1 0.098 0.902 0.280
I2 0.402 0.598 0.780
I3 0.598 0.402 0.220
I4 0.902 0.098 0.720
Cl1 0.206 0.794 0.831
Cl2 0.294 0.706 0.331
Cl3 0.706 0.294 0.669
Cl4 0.794 0.206 0.169
O1 0.013 0.987 0.773
O2 0.094 0.294 0.565
O3 0.206 0.406 0.935
O4 0.294 0.094 0.435
O5 0.406 0.206 0.065
O6 0.487 0.513 0.273
O7 0.513 0.487 0.727
O8 0.594 0.794 0.935
O9 0.706 0.906 0.565
O10 0.794 0.594 0.065
O11 0.906 0.706 0.435
O12 0.987 0.013 0.227


Record 10
First-principles (PBE-GGA) data for Cd4PI2Cl after structural relaxation, as listed in the Alexandria database.

The value obtained for the formation energy without anion corrections is -0.32 eV per atom. Its crystal system is orthorhombic.

Lattice parameters (Å, degrees): 7.838 8.941 7.708 90.00 90.00 90.00
Positions (direct):
Cd1 0.000 0.067 0.000
Cd2 0.000 0.819 0.613
Cd3 0.181 0.306 0.493
Cd4 0.319 0.694 0.993
Cd5 0.500 0.181 0.113
Cd6 0.500 0.933 0.500
Cd7 0.681 0.694 0.993
Cd8 0.819 0.306 0.493
P1 0.000 0.793 0.934
P2 0.500 0.207 0.434
I1 0.231 0.327 0.927
I2 0.269 0.673 0.427
I3 0.731 0.673 0.427
I4 0.769 0.327 0.927
Cl1 0.000 0.023 0.360
Cl2 0.500 0.977 0.860


Record 11
First-principles (PBE-GGA) data for CdP2ICl after structural relaxation, as listed in the Alexandria database.

The energy relative to the lowest polymorph listed for this composition comes out at 0.00 kcal/mol of atoms. The value obtained for the formation energy without anion corrections is 0.74 eV per atom. Its crystal system is tetragonal.

Lattice parameters (Å, degrees): 5.174 5.174 5.046 90.00 90.00 90.00
Positions (direct):
Cd1 0.000 0.000 0.000
P1 0.000 0.500 0.000
P2 0.500 0.000 0.000
I1 0.500 0.500 0.500
Cl1 0.000 0.000 0.500


Record 12
First-principles (PBE-GGA) data for CdPICl2 after structural relaxation, as listed in the Alexandria database.

The energy relative to the lowest polymorph listed for this composition comes out at 0.00 kcal/mol of atoms. The value obtained for the formation energy without anion corrections is 0.15 eV per atom. Its crystal system is tetragonal.

Lattice parameters (Å, degrees): 4.869 4.869 7.917 90.00 90.00 90.00
Positions (direct):
Cd1 0.000 0.000 0.000
P1 0.000 0.000 0.500
I1 0.500 0.500 0.500
Cl1 0.000 0.500 0.000
Cl2 0.500 0.000 0.000